[1]
{"formula": "MnC3", "functional": "PBE", "state": "relaxed", "lattice": [[5.122, -0.003, -0.002], [4.507, 2.434, -0.002], [4.507, 1.138, 2.151]], "species": ["C", "C", "C", "Mn"], "frac_coords": [[0.766, 0.766, 0.766], [0.500, 0.500, 0.500], [0.234, 0.234, 0.234], [0.000, 0.000, 0.000]], "e_form_ev_per_atom": 1.6500}


[2]
{"formula": "Rb3CdGe2O6", "functional": "PBE", "state": "relaxed", "lattice": [[-2.036, -5.820, -0.543], [6.028, 1.101, 0.871], [-1.016, -0.341, 7.465]], "species": ["Rb", "Rb", "Rb", "Cd", "Ge", "Ge", "O", "O", "O", "O", "O", "O"], "frac_coords": [[0.333, 0.667, 0.710], [0.667, 0.333, 0.290], [0.000, 0.000, 0.000], [0.000, 0.000, 0.500], [0.667, 0.333, 0.735], [0.333, 0.667, 0.265], [0.655, 0.827, 0.300], [0.173, 0.345, 0.300], [0.173, 0.827, 0.300], [0.827, 0.655, 0.700], [0.345, 0.173, 0.700], [0.827, 0.173, 0.700]], "formation_energy_uncorrected_mev_per_atom": -1382}


[3]
{"formula": "Pm4GaCoI2", "functional": "PBE", "state": "relaxed", "lattice": [[4.094, 0.000, 0.000], [0.000, 7.496, 0.180], [0.000, -2.579, 7.884]], "species": ["Pm", "Pm", "Pm", "Pm", "Ga", "Co", "I", "I"], "frac_coords": [[0.500, 0.219, 0.187], [0.500, 0.781, 0.813], [0.000, 0.233, 0.811], [0.000, 0.767, 0.189], [0.500, 0.500, 0.000], [0.000, 0.000, 0.000], [0.500, 0.000, 0.500], [0.000, 0.500, 0.500]], "formation_energy_uncorrected_mev_per_atom": -643}


[4]
{"formula": "LiGa2Cu7Ge2", "functional": "PBE", "state": "relaxed", "lattice": [[4.047, -0.151, 0.347], [-0.146, 4.047, 0.347], [3.031, 3.028, 10.947]], "species": ["Li", "Ga", "Ga", "Cu", "Cu", "Cu", "Cu", "Cu", "Cu", "Cu", "Ge", "Ge"], "frac_coords": [[0.000, 0.000, 0.000], [0.699, 0.699, 0.301], [0.301, 0.301, 0.699], [0.500, 0.500, 0.000], [0.246, 0.246, 0.501], [0.754, 0.754, 0.499], [0.856, 0.355, 0.144], [0.355, 0.856, 0.144], [0.645, 0.144, 0.856], [0.144, 0.645, 0.856], [0.796, 0.796, 0.704], [0.204, 0.204, 0.296]], "e_form_ev_per_atom": 0.0260}


The total magnetic moment results, record by record, are as follows: 0.00, 0.00, 0.00, 0.00 μB per formula unit.